Material: CoPb3F
Method: DFT, GGA+U
State: relaxed

a b c (Å): 5.063 5.063 5.063
angles (deg): 90.00 90.00 90.00
Space group Pm-3m (No. 221)
One atom of each set of equivalent atoms:
Co (0.000, 0.000, 0.000) [1 per cell]
Pb (0.000, 0.000, 0.500) [3 per cell]
F (0.500, 0.500, 0.500) [1 per cell]

Values from the calculation:
Total magnetic moment   0.359 μB per atom
Energy   -3.689 eV per atom
Excess energy over the best structure of this formula in the dataset   0 meV/atom
Density of states at the Fermi level   3.0 states/eV/cell